No. 1
Density functional theory data (PBEsol) for a relaxed structure of GdTe2ClO5.

a = 3.8881 Å, b = 3.8881 Å, c = 8.3291 Å
α = 90.00°, β = 90.00°, γ = 90.00°
Last column: nearest neighbours and their distance in Å.
Fractional positions:
Gd: 0.0000 0.0000 0.0000  12 O 2.47-2.75
Te: 0.5000 0.5000 0.7361  5 O 2.06-2.20
Te: 0.5000 0.5000 0.2639  5 O 2.06-2.20
Cl: 0.0000 0.0000 0.5000  8 O 3.28, 8 Te 3.38
O: 0.5000 0.0000 0.1824  2 Te 2.06
O: 0.0000 0.5000 0.1824  2 Te 2.06
O: 0.0000 0.5000 0.8176  2 Te 2.06
O: 0.5000 0.5000 0.0000  2 Te 2.20
O: 0.5000 0.0000 0.8176  2 Te 2.06

Values from the calculation:
Volume, Å³/atom: 13.990
Total moment, μB/f.u.: 7.0
Space group: P4/mmm, No. 123
Energy relative to the elements, uncorrected, eV/f.u.: -15.2

---

No. 2
Density functional theory data (PBEsol) for a relaxed structure of GdWClO4.

a = 6.3329 Å, b = 6.3329 Å, c = 6.8728 Å
α = 75.62°, β = 75.62°, γ = 70.90°
Last column: nearest neighbours and their distance in Å.
Fractional positions:
Gd: 0.7788 0.7788 0.1123  4 O 2.31-2.32
Gd: 0.2212 0.2212 0.8877  4 O 2.31-2.32
W: 0.6369 0.6369 0.7355  4 O 1.77-1.80
W: 0.3631 0.3631 0.2645  4 O 1.77-1.80
Cl: 0.0083 0.0083 0.2361  2 Gd 2.71-2.75
Cl: 0.9917 0.9917 0.7639  2 Gd 2.71-2.75
O: 0.4559 0.4559 0.8085  1 W 1.78
O: 0.5441 0.5441 0.1915  1 W 1.78
O: 0.5112 0.8916 0.8441  1 W 1.80
O: 0.4888 0.1084 0.1559  1 W 1.80
O: 0.8916 0.5112 0.8441  1 W 1.80
O: 0.1084 0.4888 0.1559  1 W 1.80
O: 0.2972 0.2972 0.5339  1 W 1.77
O: 0.7028 0.7028 0.4661  1 W 1.77

Values from the calculation:
Volume, Å³/atom: 17.719
Total moment, μB/f.u.: 7.0
Space group: C2/m, No. 12
Energy relative to the elements, uncorrected, eV/f.u.: -17.8

---

No. 3
Density functional theory data (PBEsol) for a relaxed structure of Gd3WCl3O6.

a = 5.2350 Å, b = 9.0650 Å, c = 9.0650 Å
α = 120.00°, β = 90.00°, γ = 90.00°
Last column: nearest neighbours and their distance in Å.
Fractional positions:
Gd: 0.2500 0.9092 0.5954  6 O 2.32-2.56
Gd: 0.7500 0.0908 0.4046  6 O 2.32-2.56
Gd: 0.2500 0.6862 0.0908  6 O 2.32-2.56
Gd: 0.7500 0.3138 0.9092  6 O 2.32-2.56
Gd: 0.2500 0.4046 0.3138  6 O 2.32-2.56
Gd: 0.7500 0.5954 0.6862  6 O 2.32-2.56
W: 0.2500 0.3333 0.6667  6 O 1.93
W: 0.7500 0.6667 0.3333  6 O 1.93
Cl: 0.2500 0.7596 0.8095  4 Gd 2.87-2.94, 4 O 2.96-2.98
Cl: 0.7500 0.2404 0.1905  4 Gd 2.87-2.94, 4 O 2.96-2.98
Cl: 0.2500 0.0499 0.2404  4 Gd 2.87-2.94, 4 O 2.96-2.98
Cl: 0.7500 0.9501 0.7596  4 Gd 2.87-2.94, 4 O 2.96-2.98
Cl: 0.2500 0.1905 0.9501  4 Gd 2.87-2.94, 4 O 2.96-2.98
Cl: 0.7500 0.8095 0.0499  4 Gd 2.87-2.94, 4 O 2.96-2.98
O: 0.4867 0.4788 0.8429  1 W 1.93
O: 0.5133 0.5212 0.1571  1 W 1.93
O: 0.4867 0.3641 0.5212  1 W 1.93
O: 0.9867 0.5212 0.1571  1 W 1.93
O: 0.5133 0.6359 0.4788  1 W 1.93
O: 0.0133 0.4788 0.8429  1 W 1.93
O: 0.4867 0.1571 0.6359  1 W 1.93
O: 0.9867 0.6359 0.4788  1 W 1.93
O: 0.5133 0.8429 0.3641  1 W 1.93
O: 0.0133 0.3641 0.5212  1 W 1.93
O: 0.9867 0.8429 0.3641  1 W 1.93
O: 0.0133 0.1571 0.6359  1 W 1.93

Values from the calculation:
Volume, Å³/atom: 14.329
Total moment, μB/f.u.: 21.0
Space group: P6_3/m, No. 176
Energy relative to the elements, uncorrected, eV/f.u.: -36.9

---

No. 4
Density functional theory data (PBEsol) for a relaxed structure of Rb3GdCl6.

a = 8.0137 Å, b = 8.0137 Å, c = 8.0137 Å
α = 60.00°, β = 60.00°, γ = 60.00°
Last column: nearest neighbours and their distance in Å.
Fractional positions:
Rb: 0.7500 0.7500 0.7500  12 Cl 4.01
Rb: 0.2500 0.2500 0.2500  12 Cl 4.01
Rb: 0.5000 0.5000 0.5000  6 Cl 3.04
Gd: 0.0000 0.0000 0.0000  6 Cl 2.63
Cl: 0.7681 0.2319 0.2319  1 Gd 2.63
Cl: 0.7681 0.7681 0.2319  1 Gd 2.63
Cl: 0.2319 0.7681 0.7681  1 Gd 2.63
Cl: 0.7681 0.2319 0.7681  1 Gd 2.63
Cl: 0.2319 0.7681 0.2319  1 Gd 2.63
Cl: 0.2319 0.2319 0.7681  1 Gd 2.63

Values from the calculation:
Volume, Å³/atom: 36.391
Total moment, μB/f.u.: 7.0
Space group: Fm-3m, No. 225
Energy relative to the elements, uncorrected, eV/f.u.: -20.5

---

No. 5
Density functional theory data (PBEsol) for a relaxed structure of GeCl4.

a = 6.6328 Å, b = 10.0366 Å, c = 10.1528 Å
α = 105.73°, β = 90.00°, γ = 90.00°
Last column: nearest neighbours and their distance in Å.
Fractional positions:
Ge: 0.9271 0.7494 0.8505  4 Cl 2.12
Ge: 0.4271 0.2506 0.6495  4 Cl 2.12
Ge: 0.0729 0.2506 0.1495  4 Cl 2.12
Ge: 0.5729 0.7494 0.3505  4 Cl 2.12
Cl: 0.6251 0.8079 0.9053  1 Ge 2.12
Cl: 0.1251 0.1921 0.5947  1 Ge 2.12
Cl: 0.3749 0.1921 0.0947  1 Ge 2.12
Cl: 0.8749 0.8079 0.4053  1 Ge 2.12
Cl: 0.4236 0.7054 0.5183  1 Ge 2.12
Cl: 0.9236 0.2946 0.9817  1 Ge 2.12
Cl: 0.5764 0.2946 0.4817  1 Ge 2.12
Cl: 0.0764 0.7054 0.0183  1 Ge 2.12
Cl: 0.5691 0.5712 0.1813  1 Ge 2.12
Cl: 0.0691 0.4288 0.3187  1 Ge 2.12
Cl: 0.4309 0.4288 0.8187  1 Ge 2.12
Cl: 0.9309 0.5712 0.6813  1 Ge 2.12
Cl: 0.4227 0.9141 0.2976  1 Ge 2.12
Cl: 0.9227 0.0859 0.2024  1 Ge 2.12
Cl: 0.5773 0.0859 0.7024  1 Ge 2.12
Cl: 0.0773 0.9141 0.7976  1 Ge 2.12

Values from the calculation:
Volume, Å³/atom: 32.529
Total moment, μB/f.u.: 0.0
Space group: P2_1/c, No. 14
Energy relative to the elements, uncorrected, eV/f.u.: -4.5

---

No. 6
Density functional theory data (PBEsol) for a relaxed structure of GeH2Cl.

a = 5.3885 Å, b = 5.3885 Å, c = 5.3885 Å
α = 60.00°, β = 60.00°, γ = 60.00°
Last column: nearest neighbours and their distance in Å.
Fractional positions:
H: 0.6250 0.6250 0.6250  2 Ge 1.65
H: 0.6250 0.6250 0.1250  2 Ge 1.65
H: 0.6250 0.1250 0.6250  2 Ge 1.65
H: 0.1250 0.6250 0.6250  2 Ge 1.65
Ge: 0.7500 0.7500 0.7500  4 H 1.65
Ge: 0.5000 0.5000 0.5000  4 H 1.65
Cl: 0.2500 0.2500 0.2500  12 H 3.16, 4 Cl 3.30, 4 Ge 3.30
Cl: 0.0000 0.0000 0.0000  12 H 3.16, 4 Ge 3.30, 4 Cl 3.30

Values from the calculation:
Volume, Å³/atom: 13.830
Total moment, μB/f.u.: 0.0
Space group: Fd-3m, No. 227
Uncorrected energy, eV/atom: -3.27

---

Question: volume of number 1 (GdTe2ClO5)?
Answer: 13.990 Å³/atom

---

Question: Look up the volume of the fourth one.
Answer: 36.391 Å³/atom

---

Question: Look up the volume of the fourth one.
Answer: 36.391 Å³/atom

---

Question: The highest volume belongs to which entry?
Answer: Rb3GdCl6